(1)
{
  "formula": "HgAsW2",
  "functional": "PBEsol",
  "state": "relaxed",
  "cell": [[-1.859, 2.085, 0.991], [-2.628, -0.774, 1.131], [2.066, -0.135, 8.591]],
  "species": ["W", "W", "Hg", "As"],
  "frac_coords": [[0.742, 0.742, 0.774], [0.258, 0.258, 0.226], [0.500, 0.500, 0.500], [0.000, 0.000, 0.000]],
  "spacegroup": "R-3m",
  "delta_e_f_mev_per_atom": 521.2,
  "polymorph_energy_ev_per_fu": 0.000
}

(2)
{
  "formula": "HgAs2W",
  "functional": "PBEsol",
  "state": "relaxed",
  "cell": [[-0.871, -2.768, -1.385], [0.372, -1.522, 2.808], [-6.946, 1.356, 1.655]],
  "species": ["Hg", "As", "As", "W"],
  "frac_coords": [[0.000, 0.000, 0.539], [0.500, 0.500, 0.189], [0.000, 0.000, 0.963], [0.500, 0.500, 0.808]],
  "spacegroup": "P4mm",
  "delta_e_f_mev_per_atom": 442.9
}

(3)
{
  "formula": "HgAsW2",
  "functional": "PBEsol",
  "state": "relaxed",
  "cell": [[-3.764, -0.925, -0.958], [0.041, -2.952, 2.689], [0.476, 4.566, 2.041]],
  "species": ["As", "W", "Hg", "W"],
  "frac_coords": [[0.500, 0.500, 0.000], [0.000, 0.000, 0.000], [0.250, 0.750, 0.500], [0.750, 0.250, 0.500]],
  "spacegroup": "I-4m2",
  "delta_e_f_mev_per_atom": 818.4,
  "polymorph_energy_ev_per_fu": 1.189
}

(4)
{
  "formula": "YHgAs",
  "functional": "PBEsol",
  "state": "relaxed",
  "cell": [[-0.244, -1.344, -3.710], [3.575, -1.648, 0.362], [-4.178, -3.518, 3.656]],
  "species": ["As", "Y", "Hg"],
  "frac_coords": [[0.906, 0.906, 0.812], [0.423, 0.423, 0.846], [0.671, 0.671, 0.341]],
  "spacegroup": "I4mm",
  "delta_e_f_mev_per_atom": -614.1
}

(5)
{
  "formula": "Y2HgAs",
  "functional": "PBEsol",
  "state": "relaxed",
  "cell": [[3.736, 0.000, 0.000], [0.000, 4.953, 0.000], [0.000, 0.000, 4.953]],
  "species": ["As", "Y", "Y", "Hg"],
  "frac_coords": [[0.500, 0.500, 0.500], [0.000, 0.500, 0.000], [0.000, 0.000, 0.500], [0.500, 0.000, 0.000]],
  "spacegroup": "P4/mmm",
  "delta_e_f_mev_per_atom": -832.9,
  "polymorph_energy_ev_per_fu": 0.680
}

(6)
{
  "formula": "Y2HgAs",
  "functional": "PBEsol",
  "state": "relaxed",
  "cell": [[-1.516, -1.082, -3.582], [-3.639, -1.736, -0.211], [-5.045, 6.121, -1.989]],
  "species": ["Y", "Hg", "Y", "As"],
  "frac_coords": [[0.985, 0.985, 0.046], [0.235, 0.235, 0.295], [0.775, 0.775, 0.676], [0.506, 0.506, 0.483]],
  "spacegroup": "R3m",
  "delta_e_f_mev_per_atom": -393.2,
  "polymorph_energy_ev_per_fu": 2.438
}

(7)
{
  "formula": "Y2HgAs",
  "functional": "PBEsol",
  "state": "relaxed",
  "cell": [[-3.491, 1.649, 0.941], [-3.277, -2.242, 0.164], [-0.962, -1.564, 7.565]],
  "species": ["Y", "Hg", "Y", "As"],
  "frac_coords": [[0.740, 0.740, 0.780], [0.500, 0.500, 0.500], [0.260, 0.260, 0.220], [0.000, 0.000, 0.000]],
  "spacegroup": "R-3m",
  "delta_e_f_mev_per_atom": -1002.8,
  "polymorph_energy_ev_per_fu": 0.000
}

(8)
{
  "formula": "YHgAs2",
  "functional": "PBEsol",
  "state": "relaxed",
  "cell": [[3.572, 0.000, 0.000], [0.000, 5.199, -0.215], [-1.786, -0.916, 5.024]],
  "species": ["Hg", "Y", "As", "As"],
  "frac_coords": [[0.500, 0.000, 0.000], [0.000, 0.500, 0.000], [0.257, 0.328, 0.513], [0.743, 0.672, 0.487]],
  "spacegroup": "C2/m",
  "delta_e_f_mev_per_atom": -455.1
}